(1)
A plane-wave DFT calculation with PBE was carried out for a relaxed structure of CaPm4Cd4.

Structure (POSCAR):
```
CaPm4Cd4
1.0
9.664 0.000 0.000
0.000 9.664 0.000
0.000 0.000 5.749
Ca Pm Cd
2 8 8
Direct
0.250 0.250 0.250
0.750 0.750 0.750
0.097 0.831 0.654
0.169 0.597 0.154
0.331 0.903 0.154
0.403 0.669 0.654
0.597 0.331 0.346
0.669 0.097 0.846
0.831 0.403 0.846
0.903 0.169 0.346
0.054 0.145 0.842
0.145 0.446 0.658
0.355 0.054 0.658
0.446 0.355 0.842
0.554 0.645 0.158
0.645 0.946 0.342
0.855 0.554 0.342
0.946 0.855 0.158
```

Summary:
Space-group type: P4_2/n (86)
Raw total energy in eV per atom: -2.8817
Formation enthalpy at 0 K in eV/f.u.: -1.271

(2)
A plane-wave DFT calculation with PBE was carried out for a relaxed structure of CaPm4Cd5.

Structure (POSCAR):
```
CaPm4Cd5
1.0
3.816 0.000 0.000
0.000 3.816 0.000
0.000 0.000 19.356
Ca Pm Cd
1 4 5
Direct
0.000 0.000 0.000
0.000 0.000 0.201
0.000 0.000 0.400
0.000 0.000 0.600
0.000 0.000 0.799
0.500 0.500 0.102
0.500 0.500 0.301
0.500 0.500 0.500
0.500 0.500 0.699
0.500 0.500 0.898
```

Summary:
Space-group type: P4/mmm (123)
Raw total energy in eV per atom: -2.8884
Formation enthalpy at 0 K in eV/f.u.: -3.305

(3)
A plane-wave DFT calculation with PBE was carried out for a relaxed structure of CaPm5Cd4.

Structure (POSCAR):
```
CaPm5Cd4
1.0
3.871 0.000 0.000
0.000 3.871 0.000
0.000 0.000 20.082
Ca Pm Cd
1 5 4
Direct
0.000 0.000 0.000
0.500 0.500 0.129
0.500 0.500 0.313
0.500 0.500 0.500
0.500 0.500 0.687
0.500 0.500 0.871
0.000 0.000 0.218
0.000 0.000 0.406
0.000 0.000 0.594
0.000 0.000 0.782
```

Summary:
Space-group type: P4/mmm (123)
Raw total energy in eV per atom: -3.1712
Formation enthalpy at 0 K in eV/f.u.: -2.297

(4)
A plane-wave DFT calculation with PBE was carried out for a relaxed structure of CaPmPrCd.

Structure (POSCAR):
```
CaPmPrCd
1.0
3.697 0.000 0.000
0.000 3.697 0.000
0.000 0.000 9.605
Ca Pm Pr Cd
1 1 1 1
Direct
0.000 0.000 0.000
0.000 0.000 0.571
0.500 0.500 0.306
0.500 0.500 0.785
```

Summary:
Space-group type: P4mm (99)
Raw total energy in eV per atom: -3.2602
Formation enthalpy at 0 K in eV/f.u.: -0.594
Distance to the lowest polymorph of the same formula in eV/f.u.: 0.00

(5)
A plane-wave DFT calculation with PBE was carried out for a relaxed structure of CaPmPrCd.

Structure (POSCAR):
```
CaPmPrCd
1.0
0.000 3.991 3.991
3.991 0.000 3.991
3.991 3.991 0.000
Ca Pm Pr Cd
1 1 1 1
Direct
0.000 0.000 0.000
0.250 0.250 0.250
0.750 0.750 0.750
0.500 0.500 0.500
```

Summary:
Space-group type: F-43m (216)
Raw total energy in eV per atom: -3.1650
Formation enthalpy at 0 K in eV/f.u.: -0.213
Distance to the lowest polymorph of the same formula in eV/f.u.: 0.38

(6)
A plane-wave DFT calculation with PBE was carried out for a relaxed structure of CaPmCdPt.

Structure (POSCAR):
```
CaPmCdPt
1.0
0.000 3.656 3.656
3.656 0.000 3.656
3.656 3.656 0.000
Ca Pm Cd Pt
1 1 1 1
Direct
0.000 0.000 0.000
0.500 0.500 0.500
0.250 0.250 0.250
0.750 0.750 0.750
```

Summary:
Space-group type: F-43m (216)
Raw total energy in eV per atom: -4.0729
Formation enthalpy at 0 K in eV/f.u.: -2.583